An optimized crystal structure of CrTeIO2. Source: Alexandria via LeMat-Bulk, functional GGA+U.

Results
crystal system = tetragonal
total energy = -0.3470 Ry/atom
volume = 116 Å³/f.u.

Cell lengths 4.119, 4.119, 6.816 Å; angles 90.00, 90.00, 90.00 degrees
Atoms (fractional coordinates):
Cr  0.000  0.000  0.000
Te  0.500  0.500  0.500
I  0.500  0.500  0.000
O  0.000  0.500  0.500
O  0.500  0.000  0.500

=====

An optimized crystal structure of ThCrI2O10. Source: Alexandria via LeMat-Bulk, functional GGA+U.

Results
crystal system = orthorhombic
total energy = -0.4523 Ry/atom
volume = 230 Å³/f.u.

Cell lengths 8.221, 9.282, 12.043 Å; angles 90.00, 90.00, 90.00 degrees
Atoms (fractional coordinates):
Th  0.233  0.024  0.169
Th  0.267  0.976  0.669
Th  0.733  0.476  0.831
Th  0.767  0.524  0.331
Cr  0.163  0.558  0.699
Cr  0.337  0.442  0.199
Cr  0.663  0.942  0.301
Cr  0.837  0.058  0.801
I  0.136  0.263  0.447
I  0.194  0.716  0.409
I  0.306  0.284  0.909
I  0.364  0.737  0.947
I  0.636  0.237  0.553
I  0.694  0.784  0.591
I  0.806  0.216  0.091
I  0.864  0.763  0.053
O  0.016  0.985  0.764
O  0.022  0.172  0.090
O  0.066  0.849  0.060
O  0.091  0.149  0.567
O  0.118  0.130  0.334
O  0.147  0.735  0.700
O  0.174  0.871  0.502
O  0.195  0.488  0.292
O  0.203  0.817  0.279
O  0.212  0.507  0.571
O  0.288  0.493  0.071
O  0.297  0.183  0.779
O  0.305  0.512  0.792
O  0.326  0.129  0.002
O  0.353  0.265  0.200
O  0.382  0.870  0.834
O  0.409  0.851  0.067
O  0.434  0.151  0.560
O  0.478  0.828  0.590
O  0.484  0.015  0.264
O  0.516  0.515  0.236
O  0.522  0.328  0.910
O  0.566  0.651  0.940
O  0.591  0.351  0.433
O  0.618  0.370  0.666
O  0.647  0.765  0.300
O  0.674  0.629  0.498
O  0.695  0.012  0.708
O  0.703  0.683  0.721
O  0.712  0.993  0.429
O  0.788  0.007  0.929
O  0.797  0.317  0.221
O  0.805  0.988  0.208
O  0.826  0.371  0.998
O  0.853  0.235  0.800
O  0.882  0.630  0.166
O  0.909  0.649  0.933
O  0.934  0.349  0.440
O  0.978  0.672  0.410
O  0.984  0.485  0.736

=====

An optimized crystal structure of TlCrI2O8. Source: Alexandria via LeMat-Bulk, functional GGA+U.

Results
crystal system = monoclinic
total energy = -0.3654 Ry/atom
volume = 244 Å³/f.u.

Cell lengths 6.323, 6.323, 7.901 Å; angles 100.72, 100.72, 52.23 degrees
Atoms (fractional coordinates):
Tl  0.000  0.000  0.000
Cr  0.000  0.000  0.500
I  0.349  0.349  0.344
I  0.651  0.651  0.656
O  0.144  0.144  0.465
O  0.215  0.701  0.315
O  0.254  0.254  0.133
O  0.299  0.785  0.685
O  0.701  0.215  0.315
O  0.746  0.746  0.867
O  0.785  0.299  0.685
O  0.856  0.856  0.535

=====

An optimized crystal structure of TlCrIO2. Source: Alexandria via LeMat-Bulk, functional GGA+U.

Results
crystal system = tetragonal
total energy = -0.3075 Ry/atom
volume = 119 Å³/f.u.

Cell lengths 4.205, 4.205, 6.721 Å; angles 90.00, 90.00, 90.00 degrees
Atoms (fractional coordinates):
Tl  0.000  0.000  0.000
Cr  0.500  0.500  0.500
I  0.000  0.000  0.500
O  0.000  0.500  0.000
O  0.500  0.000  0.000

=====

An optimized crystal structure of TlCrIO2. Source: Alexandria via LeMat-Bulk, functional GGA+U.

Results
crystal system = tetragonal
total energy = -0.3422 Ry/atom
volume = 98 Å³/f.u.

Cell lengths 4.191, 4.191, 5.578 Å; angles 90.00, 90.00, 90.00 degrees
Atoms (fractional coordinates):
Tl  0.000  0.000  0.000
Cr  0.500  0.500  0.500
I  0.500  0.500  0.000
O  0.000  0.500  0.500
O  0.500  0.000  0.500

=====

An optimized crystal structure of UCrIO6. Source: Alexandria via LeMat-Bulk, functional GGA+U.

Results
crystal system = hexagonal
total energy = -0.5178 Ry/atom
volume = 129 Å³/f.u.

Cell lengths 5.584, 5.584, 9.564 Å; angles 90.00, 90.00, 120.00 degrees
Atoms (fractional coordinates):
U  0.333  0.667  0.250
U  0.667  0.333  0.750
Cr  0.000  0.000  0.000
Cr  0.000  0.000  0.500
I  0.333  0.667  0.750
I  0.667  0.333  0.250
O  0.162  0.323  0.113
O  0.162  0.323  0.387
O  0.162  0.838  0.113
O  0.162  0.838  0.387
O  0.323  0.162  0.613
O  0.323  0.162  0.887
O  0.677  0.838  0.113
O  0.677  0.838  0.387
O  0.838  0.162  0.613
O  0.838  0.162  0.887
O  0.838  0.677  0.613
O  0.838  0.677  0.887

=====

Question: Look up the volume of the sixth one.
Answer: 129 Å³/f.u.